No. 1
VASP calculation (PBE) on ReTcRu2 after structural relaxation. Values from VASP.

Values from the calculation:
N(E_F) (states/eV/atom): 1.421
Spin magnetization (μB/cell): 1.40
SG: F-43m (216)
Excess energy over the best structure of this formula in the dataset (meV per atom): 499
Formation enthalpy at 0 K (eV/atom): 0.421
Uncorrected energy (eV/atom): -9.921

The structure in Quantum ESPRESSO input format:
```
&SYSTEM
  ibrav = 0, nat = 4, ntyp = 3
/
ATOMIC_SPECIES
Re 186.21 Re.upf
Ru 101.07 Ru.upf
Tc 98.00 Tc.upf
ATOMIC_POSITIONS crystal
Re 0.5000 0.5000 0.5000
Ru 0.0000 0.0000 0.0000
Ru 0.2500 0.2500 0.2500
Tc 0.7500 0.7500 0.7500
CELL_PARAMETERS angstrom
4.3615 0.0000 0.0000
2.1807 3.7771 0.0000
2.1807 1.2590 3.5611
```

No. 2
VASP calculation (PBE) on Re2Tc3Ru after structural relaxation. Values from VASP.

Values from the calculation:
N(E_F) (states/eV/atom): 1.120
Spin magnetization (μB/cell): 0.00
SG: C2/c (15)
Formation enthalpy at 0 K (eV/atom): 0.061
Uncorrected energy (eV/atom): -10.818

The structure in Quantum ESPRESSO input format:
```
&SYSTEM
  ibrav = 0, nat = 12, ntyp = 3
/
ATOMIC_SPECIES
Re 186.21 Re.upf
Tc 98.00 Tc.upf
Ru 101.07 Ru.upf
ATOMIC_POSITIONS crystal
Re 0.2080 0.6648 0.4149
Re 0.4569 0.6648 0.9149
Re 0.5431 0.3352 0.0851
Re 0.7920 0.3352 0.5851
Tc 0.3761 0.0000 0.7500
Tc 0.6239 0.0000 0.2500
Tc 0.9598 0.6688 0.9180
Tc 0.2909 0.3312 0.5820
Tc 0.7091 0.6688 0.4180
Tc 0.0402 0.3312 0.0820
Ru 0.1259 0.0000 0.2500
Ru 0.8741 0.0000 0.7500
CELL_PARAMETERS angstrom
7.7492 0.0000 0.0000
-3.8746 2.3473 -1.4159
0.0000 1.9467 8.4783
```

No. 3
VASP calculation (PBE) on Re2TcRu after structural relaxation. Values from VASP.

Values from the calculation:
N(E_F) (states/eV/atom): 1.117
Spin magnetization (μB/cell): 0.00
SG: P4/mmm (123)
Excess energy over the best structure of this formula in the dataset (meV per atom): 6
Formation enthalpy at 0 K (eV/atom): 0.042
Uncorrected energy (eV/atom): -11.092

The structure in Quantum ESPRESSO input format:
```
&SYSTEM
  ibrav = 0, nat = 4, ntyp = 3
/
ATOMIC_SPECIES
Re 186.21 Re.upf
Tc 98.00 Tc.upf
Ru 101.07 Ru.upf
ATOMIC_POSITIONS crystal
Re 0.0000 0.0000 0.0000
Re 0.0000 0.5000 0.5000
Tc 0.5000 0.0000 0.5000
Ru 0.5000 0.5000 0.0000
CELL_PARAMETERS angstrom
-2.8215 -2.5365 -0.8129
1.7118 -0.8186 -3.3873
2.0428 -2.8217 1.7143
```